(1)
First-principles (GGA-PBE) data for Ba2NaLiH after structural relaxation, as listed in the Alexandria database.

Results
Energy (eV per atom): -2.179

a b c (Å): 5.746 5.746 5.202
angles (deg): 90.00 90.00 90.00
Atoms (fractional coordinates):
H  0.000  0.000  0.000
Na  0.000  0.000  0.500
Ba  0.000  0.500  0.000
Ba  0.500  0.000  0.000
Li  0.500  0.500  0.500

***

(2)
First-principles (GGA-PBE) data for PaNiH after structural relaxation, as listed in the Alexandria database.

Results
Energy (eV per atom): -6.477

a b c (Å): 3.248 4.586 5.310
angles (deg): 90.00 90.00 90.00
Atoms (fractional coordinates):
Ni  0.812  0.154  0.275
Ni  0.812  0.654  0.518
Pa  0.312  0.163  0.686
Pa  0.312  0.663  0.106
H  0.812  0.831  0.814
H  0.812  0.331  0.979

***

(3)
First-principles (GGA-PBE) data for KLi2ReO4 after structural relaxation, as listed in the Alexandria database.

Results
Formation energy from raw total energies (eV per atom): -1.629

a b c (Å): 5.434 5.434 5.434
angles (deg): 88.87 120.66 120.66
Atoms (fractional coordinates):
Re  0.000  0.500  0.500
Li  0.500  0.750  0.250
Li  0.500  0.250  0.750
O  0.378  0.843  0.843
O  0.000  0.535  0.157
O  0.622  0.465  0.465
O  0.000  0.157  0.535
K  0.000  0.000  0.000

***

(4)
First-principles (GGA-PBE) data for ErBeGa after structural relaxation, as listed in the Alexandria database.

Results
Energy (eV per atom): -3.840

a b c (Å): 3.149 3.149 5.769
angles (deg): 105.84 105.84 90.00
Atoms (fractional coordinates):
Be  0.310  0.310  0.620
Ga  0.697  0.697  0.395
Er  0.992  0.992  0.985

***

(5)
First-principles (GGA-PBE) data for Li2Tl2Rh after structural relaxation, as listed in the Alexandria database.

Results
Energy (eV per atom): -3.143

a b c (Å): 3.543 3.543 7.803
angles (deg): 76.88 76.88 90.00
Atoms (fractional coordinates):
Tl  0.397  0.397  0.207
Tl  0.603  0.603  0.793
Li  0.750  0.250  0.500
Li  0.250  0.750  0.500
Rh  0.000  0.000  0.000

***

(6)
First-principles (GGA-PBE) data for AlAg2Rh after structural relaxation, as listed in the Alexandria database.

Results
Energy (eV per atom): -4.383

a b c (Å): 4.677 4.677 4.677
angles (deg): 126.95 126.95 78.33
Atoms (fractional coordinates):
Ag  0.250  0.750  0.500
Ag  0.000  0.000  0.000
Al  0.500  0.500  0.000
Rh  0.750  0.250  0.500

***

(7)
First-principles (GGA-PBE) data for TmSc3Cd2 after structural relaxation, as listed in the Alexandria database.

Results
Energy (eV per atom): -4.382

a b c (Å): 3.434 3.434 12.220
angles (deg): 90.00 90.00 90.00
Atoms (fractional coordinates):
Sc  0.000  0.000  0.000
Sc  0.000  0.000  0.308
Sc  0.000  0.000  0.692
Cd  0.500  0.500  0.847
Cd  0.500  0.500  0.153
Tm  0.500  0.500  0.500

***

(8)
First-principles (GGA-PBE) data for BaLaY2 after structural relaxation, as listed in the Alexandria database.

Results
Energy (eV per atom): -4.765

a b c (Å): 3.823 5.103 7.976
angles (deg): 90.00 90.00 90.00
Atoms (fractional coordinates):
Y  0.000  0.000  0.969
Y  0.000  0.000  0.531
La  0.500  0.500  0.750
Ba  0.500  0.500  0.250